# 1
Computed, not measured: a geometry-optimized Pu2BPt6 structure at the PBE-GGA level of DFT.

Cell and atoms, written as POSCAR:
```
Pu2BPt6
1.0
-0.667 -3.213 -4.196
5.698 0.176 -1.039
3.512 -3.911 2.438
Pu B Pt
2 1 6
Cartesian
5.613 -5.035 -2.391
2.931 -1.913 -0.406
0.000 0.000 0.000
4.648 -4.074 0.539
7.489 -3.987 0.020
5.738 -2.037 -1.194
3.895 -2.874 -3.336
1.055 -2.961 -2.818
2.806 -4.911 -1.603
```

Output
Its energy of formation from the pure elements is -0.633 eV/atom. The value obtained for the total energy is -8.587 eV per atom. Its space-group type is P-3m1 (164).


# 2
Computed, not measured: a geometry-optimized AlSeBr structure at the PBE-GGA level of DFT.

Cell and atoms, written as POSCAR:
```
AlSeBr
1.0
-1.261 4.373 0.957
-4.507 1.106 0.309
-1.863 1.031 4.134
Se Br Al
1 1 1
Cartesian
-3.815 3.255 2.700
0.000 0.000 0.000
-5.723 4.883 4.050
```

Output
The formation energy without anion corrections comes out at -0.195 eV/atom. The value obtained for the total energy is -3.162 eV per atom. Its space-group type is F-43m (216).


# 3
Computed, not measured: a geometry-optimized YInSe2 structure at the PBE-GGA level of DFT.

Cell and atoms, written as POSCAR:
```
YInSe2
1.0
-0.135 3.932 6.654
-6.779 3.136 -1.991
-5.659 0.052 4.345
Y Se In
2 4 2
Cartesian
-3.457 3.534 2.332
-7.948 3.361 2.343
-2.340 2.679 4.686
-5.675 2.648 0.984
-7.153 2.835 4.914
-9.979 6.077 7.432
0.000 0.000 0.000
-4.626 3.759 6.665
```

Output
The formation energy without anion corrections comes out at -1.056 eV/atom. The value obtained for the total energy is -5.098 eV per atom. Its space-group type is I-42d (122).


# 4
Computed, not measured: a geometry-optimized Ho4SbPb structure at the PBE-GGA level of DFT.

Cell and atoms, written as POSCAR:
```
Ho4SbPb
1.0
6.380 -0.827 0.000
-2.646 8.537 0.000
-1.867 -3.855 6.675
Ho Sb Pb
8 2 2
Cartesian
-1.421 -1.445 5.404
1.858 3.065 4.093
-1.769 1.859 5.404
-1.315 5.058 4.093
3.181 -1.203 2.582
3.636 1.996 1.271
0.009 0.790 2.582
3.288 5.300 1.271
1.595 -0.207 0.066
0.272 4.062 6.609
0.272 4.062 1.487
1.595 -0.207 5.188
```

Output
The formation energy without anion corrections comes out at -0.471 eV/atom. The value obtained for the total energy is -4.828 eV per atom. Its space-group type is C2/c (15).


> What is the formula in the fourth record?

Ho4SbPb


> What is the formula in the fourth record?

Ho4SbPb